1.
Material: Y2VTc2
Method: DFT, GGA-PBE
State: relaxed

Lattice parameters (Å, degrees): 6.467 6.467 4.847 90.00 90.00 90.00
Element x y z (fractional)
Y (0.177, 0.677, 0.500)
Y (0.677, 0.823, 0.500)
Y (0.823, 0.323, 0.500)
Y (0.323, 0.177, 0.500)
Tc (0.363, 0.863, 0.000)
Tc (0.863, 0.637, 0.000)
Tc (0.637, 0.137, 0.000)
Tc (0.137, 0.363, 0.000)
V (0.000, 0.000, 0.000)
V (0.500, 0.500, 0.000)

space-group type	No. 127
ΔH_f (0 K)	30.7	kJ/mol of formula units
ρ	6.960	g/cm³
E_tot	-8.492	eV/atom
magnetization	0.000	μB/cell

=====

2.
Material: DyThSc
Method: DFT, GGA-PBE
State: relaxed

Lattice parameters (Å, degrees): 3.504 3.504 8.310 90.00 90.00 120.00
Element x y z (fractional)
Sc (0.667, 0.333, 0.339)
Th (0.333, 0.667, 0.659)
Dy (0.000, 0.000, 0.003)

space-group type	No. 156
ΔH_f (0 K)	12.6	kJ/mol of formula units
ρ	8.258	g/cm³
E_tot	-6.074	eV/atom
magnetization	0.000	μB/cell

=====

3.
Material: LaCr3
Method: DFT, GGA-PBE
State: relaxed

Lattice parameters (Å, degrees): 3.057 3.057 7.603 90.00 90.00 89.96
Site moments in Bohr magnetons follow the coordinates.
Element x y z (fractional)
Cr (0.000, 0.000, 0.931)  2.69
Cr (0.000, 0.000, 0.569)  2.69
Cr (0.500, 0.500, 0.750)  -1.97
La (0.500, 0.500, 0.250)  -0.12

space-group type	No. 123
ΔH_f (0 K)	170.7	kJ/mol of formula units
ρ	6.894	g/cm³
E_tot	-8.007	eV/atom
magnetization	3.588	μB/cell

=====

4.
Material: YTh2Ni2
Method: DFT, GGA-PBE
State: relaxed

Lattice parameters (Å, degrees): 6.170 6.170 6.616 122.41 122.42 104.27
Element x y z (fractional)
Y (0.000, 0.000, 0.000)
Th (0.190, 0.810, 0.500)
Th (0.810, 0.190, 0.500)
Ni (0.500, 0.500, 0.188)
Ni (0.500, 0.500, 0.812)

space-group type	No. 71
ΔH_f (0 K)	-140.9	kJ/mol of formula units
ρ	9.360	g/cm³
E_tot	-6.865	eV/atom
magnetization	0.000	μB/cell

=====

5.
Material: Li2Tb2PmSn2
Method: DFT, GGA-PBE
State: relaxed

Lattice parameters (Å, degrees): 4.809 4.809 9.401 75.18 75.18 60.00
Element x y z (fractional)
Li (0.594, 0.594, 0.219)
Li (0.406, 0.406, 0.781)
Tb (0.130, 0.130, 0.611)
Tb (0.870, 0.870, 0.389)
Pm (0.000, 0.000, 0.000)
Sn (0.739, 0.739, 0.784)
Sn (0.261, 0.261, 0.216)

space-group type	No. 166
ΔH_f (0 K)	-315.4	kJ/mol of formula units
ρ	6.592	g/cm³
E_tot	-4.159	eV/atom
magnetization	0.000	μB/cell

=====

6.
Material: UNiSn2
Method: DFT, GGA-PBE
State: relaxed

Lattice parameters (Å, degrees): 3.127 3.127 10.521 81.45 81.45 60.00
Site moments in Bohr magnetons follow the coordinates.
Element x y z (fractional)
Ni (0.500, 0.500, 0.500)  0.01
U (0.000, 0.000, 0.000)  2.39
Sn (0.103, 0.103, 0.690)  0.01
Sn (0.897, 0.897, 0.310)  0.01

space-group type	No. 166
ΔH_f (0 K)	97.6	kJ/mol of formula units
ρ	10.102	g/cm³
E_tot	-6.016	eV/atom
magnetization	2.754	μB/cell